First-principles (PBE) data for crystalline Tb2NdHo3Sb6 at its relaxed geometry, as listed in the Alexandria database.

Cell and atoms, written as POSCAR:
```
Tb2NdHo3Sb6
1.0
-0.994 4.147 -1.111
-4.825 -2.964 -6.749
-5.832 -1.660 7.761
Sb Tb Ho Nd
6 2 3 1
direct
0.666 0.584 0.332
0.331 0.917 0.661
0.000 0.743 0.000
0.000 0.257 0.000
0.334 0.416 0.668
0.669 0.083 0.339
0.167 0.333 0.335
0.833 0.667 0.665
0.500 0.500 0.000
0.834 0.168 0.668
0.166 0.832 0.332
0.500 0.000 0.000
```

=====

First-principles (PBE) data for crystalline TbNdHo2Sb4 at its relaxed geometry, as listed in the Alexandria database.

Cell and atoms, written as POSCAR:
```
TbNdHo2Sb4
1.0
-2.386 -3.164 1.957
3.752 -5.316 -4.020
6.184 -2.252 3.899
Sb Nd Tb Ho
4 1 1 2
direct
0.500 0.245 0.748
0.500 0.755 0.252
0.000 0.758 0.744
0.000 0.242 0.256
0.500 0.500 0.000
0.000 0.500 0.500
0.500 0.000 0.500
0.000 0.000 0.000
```

=====

First-principles (PBE) data for crystalline NdHoSbTe at its relaxed geometry, as listed in the Alexandria database.

Cell and atoms, written as POSCAR:
```
NdHoSbTe
1.0
4.429 0.000 0.000
2.214 3.836 0.000
2.214 1.279 7.279
Ho Sb Te Nd
1 1 1 1
direct
0.440 0.440 0.679
0.698 0.698 0.906
0.190 0.190 0.429
0.948 0.948 0.157
```

=====

First-principles (PBE) data for crystalline NdHo2ThSb4 at its relaxed geometry, as listed in the Alexandria database.

Cell and atoms, written as POSCAR:
```
NdHo2ThSb4
1.0
-4.446 -0.196 0.013
0.337 -7.542 1.347
0.078 -1.254 7.597
Ho Sb Nd Th
2 4 1 1
direct
0.500 0.000 0.500
0.000 0.000 0.000
0.000 0.760 0.746
0.500 0.240 0.753
0.000 0.240 0.254
0.500 0.760 0.247
0.500 0.500 0.000
0.000 0.500 0.500
```

=====

First-principles (PBE) data for crystalline NdHoTh2Sb5 at its relaxed geometry, as listed in the Alexandria database.

Cell and atoms, written as POSCAR:
```
NdHoTh2Sb5
1.0
5.246 0.000 0.000
0.000 5.246 0.000
0.000 0.000 11.623
Sb Th Nd Ho
5 2 1 1
direct
0.000 0.000 0.252
0.000 0.000 0.748
0.500 0.000 0.500
0.500 0.500 0.000
0.000 0.500 0.500
0.500 0.500 0.302
0.500 0.500 0.698
0.000 0.000 0.000
0.000 0.000 0.500
```

=====

First-principles (PBE) data for crystalline NdHo2TmSb4 at its relaxed geometry, as listed in the Alexandria database.

Cell and atoms, written as POSCAR:
```
NdHo2TmSb4
1.0
6.216 0.339 0.000
-0.338 6.216 0.000
-2.939 -3.277 6.222
Sb Tm Ho Nd
4 1 2 1
direct
0.682 0.682 0.491
0.437 0.937 0.000
0.937 0.437 0.000
0.192 0.192 0.509
0.437 0.437 0.000
0.187 0.687 0.500
0.687 0.187 0.500
0.937 0.937 0.000
```

=====

First-principles (PBE) data for crystalline NdHoTm2Sb4 at its relaxed geometry, as listed in the Alexandria database.

Cell and atoms, written as POSCAR:
```
NdHoTm2Sb4
1.0
4.398 0.000 0.000
0.000 7.605 -0.150
0.000 2.681 7.121
Tm Sb Ho Nd
2 4 1 1
direct
0.500 0.000 0.500
0.000 0.000 0.000
0.500 0.244 0.747
0.000 0.759 0.742
0.500 0.756 0.253
0.000 0.241 0.258
0.000 0.500 0.500
0.500 0.500 0.000
```

=====

First-principles (PBE) data for crystalline Nd2Ho3TmSb6 at its relaxed geometry, as listed in the Alexandria database.

Cell and atoms, written as POSCAR:
```
Nd2Ho3TmSb6
1.0
4.418 0.000 0.000
0.000 8.825 0.318
-2.209 -2.539 9.281
Nd Sb Ho Tm
2 6 3 1
direct
0.166 0.332 0.331
0.834 0.668 0.669
0.997 0.247 0.993
0.665 0.075 0.331
0.335 0.925 0.669
0.335 0.411 0.671
0.003 0.753 0.007
0.665 0.589 0.329
0.168 0.834 0.337
0.500 0.500 0.000
0.832 0.166 0.663
0.500 0.000 0.000
```

=====

| no. | M_tot (μB/atom) | E_form (uncorrected) (kJ per mole of atoms) |
| --- | --- | --- |
| 1 | 0.0000 | -110 |
| 2 | 0.0000 | -110 |
| 3 | 0.0000 | -124 |
| 4 | 0.0000 | -106 |
| 5 | 0.0000 | -21 |
| 6 | 0.0000 | -107 |
| 7 | 0.0000 | -106 |
| 8 | 0.0000 | -108 |